Below is a geometry-optimized SrSi2Tc structure, with properties calculated at the PBEsol level.

Unit cell a=5.1615 b=5.1615 c=5.1615 alpha=133.24 beta=133.24 gamma=68.28
Element x y z (fractional)
1 Sr 0.0000 0.0000 0.0000
2 Si 0.2500 0.7500 0.5000
3 Si 0.5000 0.5000 0.0000
4 Tc 0.7500 0.2500 0.5000

Computed properties:
Energy relative to the elements, uncorrected, eV/f.u.: 2.352
Excess energy over the best structure of this formula in the dataset, meV per atom: 698
DOS at the Fermi energy, states/eV per atom: 0.97
SG: I-4m2

---

Below is a geometry-optimized Sr2SiTc structure, with properties calculated at the PBEsol level.

Unit cell a=4.9627 b=4.9627 c=4.9627 alpha=60.00 beta=60.00 gamma=60.00
Element x y z (fractional)
1 Sr 0.0000 0.0000 0.0000
2 Sr 0.2500 0.2500 0.2500
3 Si 0.7500 0.7500 0.7500
4 Tc 0.5000 0.5000 0.5000

Computed properties:
Energy relative to the elements, uncorrected, eV/f.u.: 2.180
DOS at the Fermi energy, states/eV per atom: 0.91
SG: F-43m

---

Below is a geometry-optimized SrSi2Tc structure, with properties calculated at the PBEsol level.

Unit cell a=7.0684 b=7.0684 c=7.0684 alpha=154.29 beta=148.65 gamma=40.97
Element x y z (fractional)
1 Sr 0.0000 0.0000 0.0000
2 Si 0.3571 0.3571 0.0000
3 Si 0.7182 0.2182 0.5000
4 Tc 0.2175 0.7175 0.5000

Computed properties:
Energy relative to the elements, uncorrected, eV/f.u.: -0.441
Excess energy over the best structure of this formula in the dataset, meV per atom: 0
DOS at the Fermi energy, states/eV per atom: 0.47
SG: Imm2

---

Below is a geometry-optimized Sr2SiTe structure, with properties calculated at the PBEsol level.

Unit cell a=6.3456 b=6.3456 c=4.8177 alpha=98.71 beta=98.71 gamma=40.35
Element x y z (fractional)
1 Sr 0.0000 0.0000 0.0000
2 Sr 0.7362 0.7362 0.5217
3 Si 0.4689 0.4689 0.4724
4 Te 0.2808 0.2808 0.0547

Computed properties:
Energy relative to the elements, uncorrected, eV/f.u.: -2.919
Excess energy over the best structure of this formula in the dataset, meV per atom: 0
DOS at the Fermi energy, states/eV per atom: 0.45
SG: Cm

---

Below is a geometry-optimized Sr2SiTe structure, with properties calculated at the PBEsol level.

Unit cell a=6.6322 b=6.6322 c=6.6322 alpha=142.95 beta=137.05 gamma=57.99
Element x y z (fractional)
1 Sr 0.0000 0.0000 0.0000
2 Sr 0.7387 0.2387 0.5000
3 Si 0.4767 0.4767 0.0000
4 Te 0.2580 0.7580 0.5000

Computed properties:
Energy relative to the elements, uncorrected, eV/f.u.: -2.414
Excess energy over the best structure of this formula in the dataset, meV per atom: 126
DOS at the Fermi energy, states/eV per atom: 0.57
SG: Imm2

---

Below is a geometry-optimized Sr2TlSi structure, with properties calculated at the PBEsol level.

Unit cell a=5.4582 b=5.4582 c=3.9155 alpha=90.00 beta=90.00 gamma=90.00
Element x y z (fractional)
1 Sr 0.0000 0.5000 0.0000
2 Sr 0.5000 0.0000 0.0000
3 Tl 0.0000 0.0000 0.5000
4 Si 0.5000 0.5000 0.5000

Computed properties:
Energy relative to the elements, uncorrected, eV/f.u.: -1.233
DOS at the Fermi energy, states/eV per atom: 0.40
SG: P4/mmm

---

Listing spin magnetization for the structures above in their given order: 0.8 1.3 0.0 0.0 0.0 0.0 μB per cell.